VASP calculation (PBE+U) on an optimized crystal structure of ScMnRhF2.

a = 3.842 Å, b = 3.842 Å, c = 7.800 Å
α = 90.00°, β = 90.00°, γ = 90.00°
Space group P4/mmm (No. 123)
Symmetry-distinct sites (fractional):
Sc1 0.000 0.000 0.000 [1 per cell]
Mn1 0.000 0.000 0.500 [1 per cell]
Rh1 0.500 0.500 0.000 [1 per cell]
F1 0.000 0.500 0.500 [2 per cell]

Properties
**Density of states at the Fermi level**: 0.28 states/eV/atom
**Total magnetization**: 4.9 μB/cell
**Raw total energy**: -6.127 eV/atom